1.
La3Si4Ge2 | the Alexandria database | PBE | optimized geometry; total energy = -51.4 eV for the cell shown; magnetic moment = 0.000 μB/atom
1.0
5.765 -2.071 0.000
5.765 2.071 0.000
-1.622 0.000 8.514
La Si Ge
3 4 2
direct
0.000 0.000 0.000 La
0.335 0.335 0.332 La
0.665 0.665 0.668 La
0.044 0.044 0.387 Si
0.284 0.284 0.957 Si
0.716 0.716 0.043 Si
0.956 0.956 0.613 Si
0.380 0.380 0.716 Ge
0.620 0.620 0.284 Ge

2.
LaSiGe | the Alexandria database | PBE | optimized geometry; total energy = -33.8 eV for the cell shown; magnetic moment = 0.000 μB/atom; energy above the lowest structure with this stoichiometry = 0.0000 eV per atom
1.0
4.105 0.000 0.000
0.000 4.325 0.000
0.000 0.000 7.806
La Si Ge
2 2 2
direct
0.250 0.000 0.239 La
0.750 0.000 0.761 La
0.250 0.500 0.924 Si
0.750 0.500 0.076 Si
0.250 0.500 0.598 Ge
0.750 0.500 0.402 Ge

3.
LaSi2Ge | the Alexandria database | PBE | optimized geometry; total energy = -42.1 eV for the cell shown; magnetic moment = 0.000 μB/atom
1.0
-3.699 3.699 3.338
3.699 -3.699 3.338
3.699 3.699 -3.338
La Si Ge
2 4 2
direct
0.000 0.000 0.000 La
0.750 0.250 0.500 La
0.191 0.125 0.566 Si
0.375 0.809 0.934 Si
0.559 0.625 0.434 Si
0.875 0.441 0.066 Si
0.250 0.750 0.500 Ge
0.500 0.500 0.000 Ge

4.
La3SiGe | the Alexandria database | PBE | optimized geometry; total energy = -109.8 eV for the cell shown; magnetic moment = 0.000 μB/atom; energy above the lowest structure with this stoichiometry = 0.1316 eV per atom
1.0
10.716 0.000 0.000
0.000 6.423 0.000
-5.349 0.000 9.301
La Si Ge
12 4 4
direct
0.002 0.003 0.262 La
0.002 0.497 0.762 La
0.206 0.744 0.603 La
0.206 0.756 0.103 La
0.358 0.250 0.428 La
0.358 0.250 0.928 La
0.642 0.750 0.072 La
0.642 0.750 0.572 La
0.794 0.244 0.897 La
0.794 0.256 0.397 La
0.998 0.503 0.238 La
0.998 0.997 0.738 La
0.319 0.749 0.409 Si
0.319 0.751 0.909 Si
0.681 0.249 0.091 Si
0.681 0.251 0.591 Si
0.147 0.250 0.074 Ge
0.147 0.250 0.574 Ge
0.853 0.750 0.426 Ge
0.853 0.750 0.926 Ge

5.
La6SiGe2 | the Alexandria database | PBE | optimized geometry; total energy = -98.3 eV for the cell shown; magnetic moment = 0.000 μB/atom; energy above the lowest structure with this stoichiometry = 0.0000 eV per atom
1.0
-4.951 5.176 5.246
4.951 -5.176 5.246
4.951 5.176 -5.246
La Si Ge
12 2 4
direct
0.050 0.245 0.805 La
0.172 0.455 0.283 La
0.172 0.889 0.717 La
0.324 0.238 0.563 La
0.324 0.762 0.086 La
0.440 0.245 0.195 La
0.560 0.755 0.805 La
0.676 0.238 0.914 La
0.676 0.762 0.437 La
0.828 0.111 0.283 La
0.828 0.545 0.717 La
0.950 0.755 0.195 La
0.000 0.000 0.000 Si
0.500 0.500 0.000 Si
0.132 0.500 0.632 Ge
0.380 0.880 0.500 Ge
0.620 0.120 0.500 Ge
0.868 0.500 0.368 Ge

6.
La2SiGe2 | the Alexandria database | PBE | optimized geometry; total energy = -26.7 eV for the cell shown; magnetic moment = 0.000 μB/atom
1.0
-1.899 1.899 8.884
1.899 -1.899 8.884
1.899 1.899 -8.884
La Si Ge
2 1 2
direct
0.102 0.102 0.000 La
0.898 0.898 0.000 La
0.500 0.500 0.000 Si
0.250 0.750 0.500 Ge
0.750 0.250 0.500 Ge

7.
La5Si2Ge5 | the Alexandria database | PBE | optimized geometry; total energy = -67.6 eV for the cell shown; magnetic moment = 0.000 μB/atom
1.0
7.684 -2.112 0.000
7.684 2.112 0.000
-7.087 0.000 9.269
La Si Ge
5 2 5
direct
0.000 0.000 0.000 La
0.313 0.313 0.422 La
0.372 0.372 0.176 La
0.628 0.628 0.824 La
0.687 0.687 0.578 La
0.379 0.379 0.734 Si
0.621 0.621 0.266 Si
0.000 0.000 0.500 Ge
0.059 0.059 0.315 Ge
0.299 0.299 0.863 Ge
0.701 0.701 0.137 Ge
0.941 0.941 0.685 Ge

8.
LaSiGe | the Alexandria database | PBE | optimized geometry; total energy = -33.8 eV for the cell shown; magnetic moment = 0.000 μB/atom; energy above the lowest structure with this stoichiometry = 0.0055 eV per atom
1.0
-2.063 3.898 4.307
2.063 -3.898 4.307
2.063 3.898 -4.307
La Si Ge
2 2 2
direct
0.249 0.249 0.000 La
0.751 0.751 0.000 La
0.152 0.500 0.652 Si
0.848 0.500 0.348 Si
0.323 0.000 0.323 Ge
0.677 0.000 0.677 Ge

9.
LaSiGe | the Alexandria database | PBE | optimized geometry; total energy = -16.8 eV for the cell shown; magnetic moment = 0.000 μB/atom; energy above the lowest structure with this stoichiometry = 0.0320 eV per atom
1.0
4.281 0.000 0.000
-2.140 3.707 0.000
0.000 0.000 4.339
La Si Ge
1 1 1
direct
0.000 0.000 0.000 La
0.333 0.667 0.513 Si
0.667 0.333 0.488 Ge

10.
La3Si2Ge3 | the Alexandria database | PBE | optimized geometry; total energy = -89.9 eV for the cell shown; magnetic moment = 0.000 μB/atom
1.0
2.104 -5.676 0.000
2.104 5.676 0.000
0.000 0.000 16.229
La Si Ge
6 4 6
direct
0.067 0.933 0.750 La
0.359 0.641 0.590 La
0.359 0.641 0.910 La
0.641 0.359 0.090 La
0.641 0.359 0.410 La
0.933 0.067 0.250 La
0.348 0.652 0.126 Si
0.348 0.652 0.374 Si
0.652 0.348 0.626 Si
0.652 0.348 0.874 Si
0.079 0.921 0.557 Ge
0.079 0.921 0.943 Ge
0.211 0.789 0.250 Ge
0.789 0.211 0.750 Ge
0.921 0.079 0.057 Ge
0.921 0.079 0.443 Ge

11.
La4SiGe2 | the Alexandria database | PBE | optimized geometry; total energy = -77.6 eV for the cell shown; magnetic moment = 0.094 μB/atom
1.0
6.952 0.000 0.000
0.000 6.706 0.000
-2.093 0.000 8.577
La Si Ge
8 2 4
direct
0.153 0.250 0.085 La
0.191 0.750 0.343 La
0.327 0.012 0.728 La
0.327 0.488 0.728 La
0.673 0.512 0.272 La
0.673 0.988 0.272 La
0.809 0.250 0.657 La
0.847 0.750 0.915 La
0.408 0.250 0.422 Si
0.592 0.750 0.578 Si
0.059 0.250 0.411 Ge
0.323 0.750 0.035 Ge
0.677 0.250 0.965 Ge
0.941 0.750 0.589 Ge

12.
LaSiGe2 | the Alexandria database | PBE | optimized geometry; total energy = -41.7 eV for the cell shown; magnetic moment = 0.000 μB/atom
1.0
-3.713 3.713 3.382
3.713 -3.713 3.382
3.713 3.713 -3.382
La Si Ge
2 2 4
direct
0.000 0.000 0.000 La
0.750 0.250 0.500 La
0.250 0.750 0.500 Si
0.500 0.500 0.000 Si
0.194 0.125 0.569 Ge
0.375 0.806 0.931 Ge
0.556 0.625 0.431 Ge
0.875 0.444 0.069 Ge

13.
La3SiGe | the Alexandria database | PBE | optimized geometry; total energy = -25.8 eV for the cell shown; magnetic moment = 0.000 μB/atom; energy above the lowest structure with this stoichiometry = 0.4552 eV per atom
1.0
5.620 0.000 0.000
0.000 5.620 0.000
0.000 0.000 5.620
La Si Ge
3 1 1
direct
0.000 0.000 0.500 La
0.000 0.500 0.000 La
0.500 0.000 0.000 La
0.000 0.000 0.000 Si
0.500 0.500 0.500 Ge

14.
La12Si5Ge | the Alexandria database | PBE | optimized geometry; total energy = -100.3 eV for the cell shown; magnetic moment = 0.000 μB/atom
1.0
-4.931 5.120 5.258
4.931 -5.120 5.258
4.931 5.120 -5.258
La Si Ge
12 5 1
direct
0.046 0.245 0.801 La
0.179 0.264 0.443 La
0.179 0.736 0.915 La
0.323 0.037 0.714 La
0.323 0.610 0.286 La
0.443 0.245 0.199 La
0.557 0.755 0.801 La
0.677 0.390 0.714 La
0.677 0.963 0.286 La
0.821 0.264 0.085 La
0.821 0.736 0.557 La
0.954 0.755 0.199 La
0.000 0.000 0.000 Si
0.113 0.613 0.500 Si
0.378 0.000 0.378 Si
0.622 0.000 0.622 Si
0.887 0.387 0.500 Si
0.500 0.500 0.000 Ge

15.
La3SiGe | the Alexandria database | PBE | optimized geometry; total energy = -56.2 eV for the cell shown; magnetic moment = 0.000 μB/atom; energy above the lowest structure with this stoichiometry = 0.0000 eV per atom
1.0
4.591 0.000 0.000
0.000 9.284 0.000
0.000 0.000 6.685
La Si Ge
6 2 2
direct
0.250 0.048 0.246 La
0.250 0.250 0.751 La
0.250 0.452 0.246 La
0.750 0.548 0.754 La
0.750 0.750 0.249 La
0.750 0.952 0.754 La
0.250 0.750 0.944 Si
0.750 0.250 0.056 Si
0.250 0.750 0.560 Ge
0.750 0.250 0.440 Ge

16.
LaSiGe | the Alexandria database | PBE | optimized geometry; total energy = -33.0 eV for the cell shown; magnetic moment = 0.000 μB/atom; energy above the lowest structure with this stoichiometry = 0.1371 eV per atom
1.0
5.568 -2.026 0.000
5.568 2.026 0.000
-1.615 0.000 6.488
La Si Ge
2 2 2
direct
0.000 0.000 0.000 La
0.246 0.246 0.536 La
0.280 0.280 0.996 Si
0.958 0.958 0.478 Si
0.560 0.560 0.671 Ge
0.754 0.754 0.189 Ge

17.
La6Si2Ge | the Alexandria database | PBE | optimized geometry; total energy = -96.0 eV for the cell shown; magnetic moment = 0.000 μB/atom; energy above the lowest structure with this stoichiometry = 0.2158 eV per atom
1.0
7.266 0.000 0.000
0.000 7.266 0.000
0.000 0.000 12.737
La Si Ge
12 4 2
direct
0.205 0.205 0.000 La
0.208 0.208 0.331 La
0.208 0.208 0.669 La
0.292 0.708 0.169 La
0.292 0.708 0.831 La
0.295 0.705 0.500 La
0.705 0.295 0.500 La
0.708 0.292 0.169 La
0.708 0.292 0.831 La
0.792 0.792 0.331 La
0.792 0.792 0.669 La
0.795 0.795 0.000 La
0.000 0.000 0.166 Si
0.000 0.000 0.834 Si
0.500 0.500 0.334 Si
0.500 0.500 0.666 Si
0.000 0.000 0.500 Ge
0.500 0.500 0.000 Ge

18.
La2SiGe2 | the Alexandria database | PBE | optimized geometry; total energy = -56.4 eV for the cell shown; magnetic moment = 0.000 μB/atom
1.0
5.658 -2.178 0.000
5.658 2.178 0.000
-4.173 0.000 10.033
La Si Ge
4 2 4
direct
0.092 0.092 0.402 La
0.299 0.299 0.860 La
0.701 0.701 0.140 La
0.908 0.908 0.598 La
0.445 0.445 0.196 Si
0.555 0.555 0.804 Si
0.048 0.048 0.912 Ge
0.352 0.352 0.365 Ge
0.648 0.648 0.635 Ge
0.952 0.952 0.088 Ge

19.
La6SiGe2 | the Alexandria database | PBE | optimized geometry; total energy = -95.1 eV for the cell shown; magnetic moment = 0.000 μB/atom; energy above the lowest structure with this stoichiometry = 0.1790 eV per atom
1.0
7.280 0.000 0.000
0.000 7.280 0.000
0.000 0.000 12.793
La Si Ge
12 2 4
direct
0.207 0.207 0.165 La
0.207 0.207 0.835 La
0.209 0.209 0.500 La
0.291 0.709 0.000 La
0.293 0.707 0.335 La
0.293 0.707 0.665 La
0.707 0.293 0.335 La
0.707 0.293 0.665 La
0.709 0.291 0.000 La
0.791 0.791 0.500 La
0.793 0.793 0.165 La
0.793 0.793 0.835 La
0.000 0.000 0.000 Si
0.500 0.500 0.500 Si
0.000 0.000 0.333 Ge
0.000 0.000 0.667 Ge
0.500 0.500 0.167 Ge
0.500 0.500 0.833 Ge

20.
La10Si3Ge3 | the Alexandria database | PBE | optimized geometry; total energy = -89.5 eV for the cell shown; magnetic moment = 0.000 μB/atom
1.0
8.993 0.000 0.000
-4.497 7.788 0.000
0.000 0.000 6.876
La Si Ge
10 3 3
direct
0.000 0.253 0.000 La
0.000 0.754 0.500 La
0.246 0.246 0.500 La
0.253 0.000 0.000 La
0.333 0.667 0.261 La
0.333 0.667 0.739 La
0.667 0.333 0.261 La
0.667 0.333 0.739 La
0.747 0.747 0.000 La
0.754 0.000 0.500 La
0.000 0.392 0.500 Si
0.392 0.000 0.500 Si
0.608 0.608 0.500 Si
0.000 0.609 0.000 Ge
0.391 0.391 0.000 Ge
0.609 0.000 0.000 Ge

21.
La5SiGe2 | the Alexandria database | PBE | optimized geometry; total energy = -89.3 eV for the cell shown; magnetic moment = 0.000 μB/atom
1.0
-4.051 4.051 6.935
4.051 -4.051 6.935
4.051 4.051 -6.935
La Si Ge
10 2 4
direct
0.000 0.000 0.000 La
0.027 0.527 0.852 La
0.175 0.027 0.500 La
0.325 0.825 0.852 La
0.473 0.325 0.500 La
0.500 0.500 0.000 La
0.527 0.675 0.500 La
0.675 0.175 0.148 La
0.825 0.973 0.500 La
0.973 0.473 0.148 La
0.250 0.250 0.000 Si
0.750 0.750 0.000 Si
0.121 0.379 0.500 Ge
0.379 0.879 0.258 Ge
0.621 0.121 0.742 Ge
0.879 0.621 0.500 Ge

Computed theoretical density (Mg/m³) in order:
5.51; 5.74; 4.87; 5.37; 6.22; 5.85; 6.15; 5.74; 5.78; 5.92; 6.05; 5.56; 4.84; 5.88; 6.03; 5.44; 4.75; 6.06; 4.93; 5.83; 6.33